[1]
16
Lattice="-3.491 -1.508 6.372 2.469 -5.973 4.260 5.481 6.237 8.799" Properties=species:S:1:pos:R:3 comment="Tl2CrGeTe4, optimized geometry, DFT PBE" formation_energy_uncorrected_ev_per_atom=-0.075 final_energy_ev_per_cell=-64.3 pbc="T T T"
Te 2.136 -2.519 9.409
Te 2.362 0.377 5.510
Te 4.671 4.030 9.799
Te 2.255 -1.553 13.635
Te 2.168 1.207 10.308
Te 3.563 -0.689 17.104
Te -1.005 -1.376 5.799
Te 1.691 -4.453 6.160
Tl 2.822 3.664 6.733
Tl -1.302 -3.571 9.243
Tl 4.017 1.574 13.374
Tl -0.831 1.065 8.438
Ge -1.745 -0.754 3.186
Ge 3.103 -0.245 8.122
Cr 0.000 0.000 0.000
Cr 1.357 -0.999 11.308

---

[2]
5
Lattice="5.438 0.000 0.000 0.000 5.724 0.000 0.000 0.000 5.438" Properties=species:S:1:pos:R:3 comment="YCrGe2Te, optimized geometry, DFT PBE" formation_energy_uncorrected_ev_per_atom=0.779 final_energy_ev_per_cell=-24.6 pbc="T T T"
Ge 2.719 0.000 0.000
Ge 0.000 0.000 2.719
Te 0.000 2.862 0.000
Y 0.000 0.000 0.000
Cr 2.719 2.862 2.719

---

[3]
4
Lattice="-3.109 1.573 3.418 -0.581 -2.541 4.127 3.645 3.161 5.346" Properties=species:S:1:pos:R:3 comment="ThCrGe2, optimized geometry, DFT PBE" final_energy_ev_per_cell=-23.5 ef_ev_per_atom=0.7069 pbc="T T T"
Ge 1.835 1.867 4.295
Ge -1.880 0.325 8.596
Cr 0.000 0.000 0.000
Th -0.023 1.096 6.445

---

[4]
4
Lattice="-1.349 1.241 2.761 -3.030 -2.891 -0.181 2.341 -2.599 2.311" Properties=species:S:1:pos:R:3 comment="Ti2CrGe, optimized geometry, DFT PBE" final_energy_ev_per_cell=-31.4 ef_ev_per_atom=-0.3447 pbc="T T T"
Ge -0.674 0.620 1.380
Ti -1.515 -1.446 -0.091
Ti 1.170 -1.299 1.156
Cr -1.019 -2.124 2.446

---

[5]
8
Lattice="3.736 0.000 0.000 0.000 3.736 0.000 1.868 1.868 9.158" Properties=species:S:1:pos:R:3 comment="TiCrGe2, optimized geometry, DFT PBE" final_energy_ev_per_cell=-51.6 ef_ev_per_atom=0.2326 relative_energy_ev_per_atom=0.3766 pbc="T T T"
Ge 2.802 2.787 6.868
Ge 4.670 4.684 6.868
Ge 2.816 0.934 2.289
Ge 0.919 2.802 2.289
Cr 3.736 1.868 4.579
Cr 0.000 0.000 0.000
Ti 1.868 3.736 4.579
Ti 1.868 1.868 0.000

---

[6]
10
Lattice="6.289 0.000 0.000 0.000 6.289 0.000 0.000 0.000 3.745" Properties=species:S:1:pos:R:3 comment="Ti2Cr2Ge, optimized geometry, DFT PBE" final_energy_ev_per_cell=-79.5 ef_ev_per_atom=-0.0223 pbc="T T T"
Ge 0.000 0.000 0.000
Ge 3.144 3.144 0.000
Cr 3.872 0.727 0.000
Cr 2.417 5.562 0.000
Cr 5.562 3.872 0.000
Cr 0.727 2.417 0.000
Ti 2.003 1.141 1.873
Ti 5.148 2.003 1.873
Ti 4.285 5.148 1.873
Ti 1.141 4.285 1.873

---

Size of the total moment? In order: 0.250; 0.953; 0.983; 0.000; 0.000; 0.000 μB per atom.
V? In order: 36.3; 33.8; 34.2; 14.6; 16.0; 14.8 Å³/atom.